# 1
# meta-GGA SCAN Na3TaP, PBEsol geometry
# Crystal system: cubic
data_Na3TaP
_cell_length_a 5.726
_cell_length_b 5.726
_cell_length_c 5.726
_cell_angle_alpha 90.00
_cell_angle_beta 90.00
_cell_angle_gamma 90.00
_symmetry_space_group_name_H-M 'P m -3 m'
_symmetry_Int_Tables_number 221
_symmetry_space_group_name_Hall '-P 4 2 3'
loop_
_atom_site_label
_atom_site_fract_x
_atom_site_fract_y
_atom_site_fract_z
Na1 0.000 0.000 0.500
Ta1 0.000 0.000 0.000
P1 0.500 0.500 0.500

=====

# 2
# meta-GGA SCAN NaTc3P, PBEsol geometry
# Energy above the lowest structure with this stoichiometry: 0.0000 eV per atom
# Crystal system: cubic
data_NaTc3P
_cell_length_a 4.389
_cell_length_b 4.389
_cell_length_c 4.389
_cell_angle_alpha 90.00
_cell_angle_beta 90.00
_cell_angle_gamma 90.00
_symmetry_space_group_name_H-M 'P m -3 m'
_symmetry_Int_Tables_number 221
_symmetry_space_group_name_Hall '-P 4 2 3'
loop_
_atom_site_label
_atom_site_fract_x
_atom_site_fract_y
_atom_site_fract_z
Na1 0.000 0.000 0.000
Tc1 0.000 0.500 0.500
P1 0.500 0.500 0.500

=====

# 3
# meta-GGA SCAN Na3TcP, PBEsol geometry
# Crystal system: cubic
data_Na3TcP
_cell_length_a 5.479
_cell_length_b 5.479
_cell_length_c 5.479
_cell_angle_alpha 90.00
_cell_angle_beta 90.00
_cell_angle_gamma 90.00
_symmetry_space_group_name_H-M 'P m -3 m'
_symmetry_Int_Tables_number 221
_symmetry_space_group_name_Hall '-P 4 2 3'
loop_
_atom_site_label
_atom_site_fract_x
_atom_site_fract_y
_atom_site_fract_z
Na1 0.000 0.000 0.500
Tc1 0.000 0.000 0.000
P1 0.500 0.500 0.500

=====

Number 1: formation enthalpy at 0 K 1.7716 eV per atom, total magnetic moment 0.60 μB/atom, density of states at the Fermi level 0.85 states/eV per atom. Number 2: formation enthalpy at 0 K 0.6962 eV per atom, total magnetic moment 0.00 μB/atom, density of states at the Fermi level 0.62 states/eV per atom. Number 3: formation enthalpy at 0 K 1.4408 eV per atom, total magnetic moment 1.00 μB/atom, density of states at the Fermi level 1.24 states/eV per atom.